# Li9Mn2Co5O16, relaxed, DFT PBE with a Hubbard U
data_Li9Mn2Co5O16
_chemical_formula_sum 'Li9 Mn2 Co5 O16'
_space_group_name_H-M_alt 'P 1'
_space_group_IT_number 1
_cell_length_a 5.738
_cell_length_b 5.738
_cell_length_c 10.082
_cell_angle_alpha 107.10
_cell_angle_beta 107.10
_cell_angle_gamma 59.45
loop_
_space_group_symop_operation_xyz
'x,y,z'
loop_
_atom_site_label
_atom_site_type_symbol
_atom_site_fract_x
_atom_site_fract_y
_atom_site_fract_z
Li1 Li 0.000 0.000 0.000
Li2 Li 0.244 0.244 0.253
Li3 Li 0.246 0.751 0.748
Li4 Li 0.249 0.754 0.252
Li5 Li 0.250 0.250 0.749
Li6 Li 0.750 0.750 0.251
Li7 Li 0.751 0.246 0.748
Li8 Li 0.754 0.249 0.252
Li9 Li 0.756 0.756 0.747
Mn1 Mn 0.000 0.500 0.000
Mn2 Mn 0.500 0.000 0.000
Co1 Co 0.000 0.000 0.500
Co2 Co 0.000 0.500 0.500
Co3 Co 0.500 0.000 0.500
Co4 Co 0.500 0.500 0.000
Co5 Co 0.500 0.500 0.500
O1 O 0.129 0.129 0.391
O2 O 0.129 0.630 0.393
O3 O 0.136 0.136 0.886
O4 O 0.138 0.610 0.890
O5 O 0.357 0.357 0.120
O6 O 0.370 0.871 0.607
O7 O 0.371 0.371 0.608
O8 O 0.390 0.862 0.110
O9 O 0.610 0.138 0.890
O10 O 0.629 0.629 0.392
O11 O 0.630 0.129 0.393
O12 O 0.643 0.643 0.880
O13 O 0.862 0.390 0.110
O14 O 0.864 0.864 0.114
O15 O 0.871 0.370 0.607
O16 O 0.871 0.871 0.609
# Raw total energy: -5.77 eV per atom
# Crystal system: monoclinic
# E above lowest polymorph: 48 meV per atom
# Spin magnetization: 0.1 μB per formula unit